Entry 1:
This record from Alexandria via LeMat-Bulk describes Ti3AlH after structural relaxation. The functional is PBE.

Output
SG = Pmm2

a = 5.5866 Å, b = 4.6735 Å, c = 5.2145 Å
α = 90.00°, β = 89.96°, γ = 90.00°
Atoms (fractional coordinates):
H 0.6293 0.8102 0.3153
H 0.6293 0.2566 0.3153
Al 0.6296 0.5334 0.7309
Al 0.1296 0.0333 0.0480
Ti 0.3741 0.0333 0.5407
Ti 0.3713 0.5333 0.2349
Ti 0.1296 0.5333 0.7561
Ti 0.8859 0.0333 0.5408
Ti 0.6297 0.0334 0.0051
Ti 0.8873 0.5333 0.2350

---

Entry 2:
This record from Alexandria via LeMat-Bulk describes La3TlN after structural relaxation. The functional is PBE.

Output
SG = P6_3/mmc
Formation energy without anion corrections = -0.30 eV per atom

a = 5.4282 Å, b = 5.4282 Å, c = 10.2609 Å
α = 90.00°, β = 90.00°, γ = 120.00°
Each line ends with the local moment (μB).
Atoms (fractional coordinates):
Tl 0.3333 0.6667 0.7500  -0.03
Tl 0.6667 0.3333 0.2500  -0.03
N 0.0000 0.0000 0.0000  -0.05
N 0.0000 0.0000 0.5000  -0.05
La 0.0000 0.0000 0.2500  0.07
La 0.0000 0.0000 0.7500  0.07
La 0.3333 0.6667 0.0644  0.26
La 0.3333 0.6667 0.4356  0.26
La 0.6667 0.3333 0.5644  0.26
La 0.6667 0.3333 0.9356  0.26

---

Entry 3:
This record from Alexandria via LeMat-Bulk describes Pr2HoIn after structural relaxation. The functional is PBE.

Output
Distance to the lowest polymorph of the same formula = 0.111 eV/atom
SG = Fm-3m

a = 5.5901 Å, b = 5.5901 Å, c = 5.5901 Å
α = 60.00°, β = 60.00°, γ = 60.00°
Atoms (fractional coordinates):
Pr 0.2500 0.2500 0.2500
Pr 0.7500 0.7500 0.7500
Ho 0.5000 0.5000 0.5000
In 0.0000 0.0000 0.0000

---

Entry 4:
This record from Alexandria via LeMat-Bulk describes TbBe4GeIr2 after structural relaxation. The functional is PBE.

Output
SG = R-3m

a = 3.9094 Å, b = 3.9094 Å, c = 9.0310 Å
α = 77.50°, β = 77.50°, γ = 60.00°
Atoms (fractional coordinates):
Tb 0.0000 0.0000 0.0000
Be 0.4095 0.4095 0.7714
Be 0.8912 0.8912 0.3264
Be 0.1088 0.1088 0.6736
Be 0.5905 0.5905 0.2286
Ge 0.5000 0.5000 0.5000
Ir 0.7517 0.7517 0.7450
Ir 0.2483 0.2483 0.2550

---

Entry 5:
This record from Alexandria via LeMat-Bulk describes PmAlZnGa after structural relaxation. The functional is PBE.

Output
SG = F-43m

a = 4.8469 Å, b = 4.8469 Å, c = 4.8469 Å
α = 60.00°, β = 60.00°, γ = 60.00°
Atoms (fractional coordinates):
Zn 0.7500 0.7500 0.7500
Al 0.0000 0.0000 0.0000
Ga 0.2500 0.2500 0.2500
Pm 0.5000 0.5000 0.5000

---

Entry 6:
This record from Alexandria via LeMat-Bulk describes ZrTl2 after structural relaxation. The functional is PBE.

Output
SG = P-62m

a = 9.0491 Å, b = 9.0491 Å, c = 3.2693 Å
α = 90.00°, β = 90.00°, γ = 120.00°
Atoms (fractional coordinates):
Zr 0.3333 0.6667 0.0000
Zr 0.6667 0.3333 0.0000
Zr 0.0000 0.0000 0.5000
Tl 0.2829 0.0000 0.0000
Tl 0.0000 0.2829 0.0000
Tl 0.7171 0.7171 0.0000
Tl 0.6022 0.0000 0.5000
Tl 0.0000 0.6022 0.5000
Tl 0.3978 0.3978 0.5000

---

Entry 7:
This record from Alexandria via LeMat-Bulk describes Mn2AlPt4 after structural relaxation. The functional is PBE.

Output
SG = Cmmm

a = 4.0253 Å, b = 5.3208 Å, c = 5.3208 Å
α = 94.27°, β = 90.00°, γ = 90.00°
Each line ends with the local moment (μB).
Atoms (fractional coordinates):
Mn 0.0000 0.7930 0.2070  3.92
Mn 0.0000 0.2070 0.7930  3.92
Al 0.5000 0.5000 0.5000  -0.01
Pt 0.0000 0.7132 0.7132  0.18
Pt 0.0000 0.2868 0.2868  0.18
Pt 0.5000 0.0000 0.5000  0.21
Pt 0.5000 0.5000 0.0000  0.21

---

Entry 8:
This record from Alexandria via LeMat-Bulk describes Zn2GaSeN after structural relaxation. The functional is PBE.

Output
SG = P4/mmm
Formation energy without anion corrections = 0.39 eV per atom

a = 3.9912 Å, b = 5.4072 Å, c = 3.9912 Å
α = 90.00°, β = 90.00°, γ = 90.00°
Atoms (fractional coordinates):
Zn 0.0000 0.0000 0.5000
Zn 0.5000 0.0000 0.0000
Ga 0.5000 0.5000 0.5000
Se 0.0000 0.5000 0.0000
N 0.0000 0.0000 0.0000

---

Entry 9:
This record from Alexandria via LeMat-Bulk describes PrTh2U after structural relaxation. The functional is PBE.

Output
SG = R-3m

a = 3.4161 Å, b = 3.4161 Å, c = 12.4375 Å
α = 82.11°, β = 82.11°, γ = 60.00°
Each line ends with the local moment (μB).
Atoms (fractional coordinates):
Pr 0.0000 0.0000 0.0000  -0.01
U 0.5000 0.5000 0.5000  2.03
Th 0.0911 0.0911 0.7267  0.02
Th 0.9089 0.9089 0.2733  0.02

---

Entry 10:
This record from Alexandria via LeMat-Bulk describes AcSi2Ag after structural relaxation. The functional is PBE.

Output
Distance to the lowest polymorph of the same formula = 0.000 eV/atom
SG = Pnma
Formation energy without anion corrections = -0.46 eV per atom

a = 4.4309 Å, b = 11.1963 Å, c = 14.3139 Å
α = 90.00°, β = 90.00°, γ = 90.00°
Atoms (fractional coordinates):
Ac 0.7500 0.4816 0.6987
Ac 0.2500 0.9816 0.8013
Ac 0.2500 0.5184 0.3013
Ac 0.7500 0.0184 0.1987
Ac 0.7500 0.2495 0.9469
Ac 0.2500 0.7495 0.5531
Ac 0.2500 0.7505 0.0531
Ac 0.7500 0.2505 0.4469
Si 0.7500 0.9652 0.9731
Si 0.2500 0.4652 0.5269
Si 0.2500 0.0348 0.0269
Si 0.7500 0.5348 0.4731
Si 0.7500 0.7836 0.8874
Si 0.2500 0.2836 0.6126
Si 0.2500 0.2164 0.1126
Si 0.7500 0.7164 0.3874
Si 0.7500 0.7811 0.7173
Si 0.2500 0.2811 0.7827
Si 0.2500 0.2189 0.2827
Si 0.7500 0.7189 0.2173
Si 0.7500 0.9618 0.6293
Si 0.2500 0.4618 0.8707
Si 0.2500 0.0382 0.3707
Si 0.7500 0.5382 0.1293
Ag 0.7500 0.5586 0.9417
Ag 0.2500 0.0586 0.5583
Ag 0.2500 0.4414 0.0583
Ag 0.7500 0.9414 0.4417
Ag 0.7500 0.3198 0.1987
Ag 0.2500 0.8198 0.3013
Ag 0.2500 0.6802 0.8013
Ag 0.7500 0.1802 0.6987

---

Entry 11:
This record from Alexandria via LeMat-Bulk describes HgSbRh2Au after structural relaxation. The functional is PBE.

Output
SG = P4/mmm
Formation energy without anion corrections = 1.21 eV per atom

a = 4.9880 Å, b = 5.0288 Å, c = 4.9880 Å
α = 90.00°, β = 90.00°, γ = 90.00°
Atoms (fractional coordinates):
Sb 0.5000 0.5000 0.5000
Au 0.0000 0.5000 0.0000
Hg 0.0000 0.0000 0.0000
Rh 0.0000 0.0000 0.5000
Rh 0.5000 0.0000 0.0000

---

Entry 12:
This record from Alexandria via LeMat-Bulk describes Mn3Sb5 after structural relaxation. The functional is PBE.

Output
Distance to the lowest polymorph of the same formula = 0.155 eV/atom
SG = P6_3/mcm
Formation energy without anion corrections = 0.26 eV per atom

a = 8.3209 Å, b = 8.3209 Å, c = 5.8570 Å
α = 90.00°, β = 90.00°, γ = 120.00°
Each line ends with the local moment (μB).
Atoms (fractional coordinates):
Sb 0.3333 0.6667 0.0000  -0.07
Sb 0.6667 0.3333 0.5000  -0.07
Sb 0.6667 0.3333 0.0000  -0.07
Sb 0.3333 0.6667 0.5000  -0.07
Sb 0.2563 0.0000 0.2500  -0.13
Sb 0.7437 0.0000 0.7500  -0.13
Sb 0.0000 0.2563 0.2500  -0.13
Sb 0.7437 0.7437 0.2500  -0.13
Sb 0.2563 0.2563 0.7500  -0.13
Sb 0.0000 0.7437 0.7500  -0.13
Mn 0.6052 0.0000 0.2500  3.45
Mn 0.3948 0.0000 0.7500  3.45
Mn 0.0000 0.6052 0.2500  3.45
Mn 0.3948 0.3948 0.2500  3.45
Mn 0.6052 0.6052 0.7500  3.45
Mn 0.0000 0.3948 0.7500  3.45

---

Entry 13:
This record from Alexandria via LeMat-Bulk describes NiAgOs2 after structural relaxation. The functional is PBE.

Output
Distance to the lowest polymorph of the same formula = 0.383 eV/atom
SG = P4/mmm

a = 4.1574 Å, b = 3.7125 Å, c = 3.7125 Å
α = 90.00°, β = 90.00°, γ = 90.00°
Atoms (fractional coordinates):
Ag 0.5000 0.5000 0.0000
Ni 0.5000 0.0000 0.5000
Os 0.0000 0.0000 0.0000
Os 0.0000 0.5000 0.5000

---

Entry 14:
This record from Alexandria via LeMat-Bulk describes Sc3In5Te12 after structural relaxation. The functional is PBE.

Output
SG = Ia-3d
Formation energy without anion corrections = -0.47 eV per atom

a = 15.1661 Å, b = 15.1661 Å, c = 15.1661 Å
α = 109.47°, β = 109.47°, γ = 109.47°
Atoms (fractional coordinates):
Sc 0.7500 0.3750 0.1250
Sc 0.8750 0.7500 0.1250
Sc 0.3750 0.7500 0.6250
Sc 0.2500 0.1250 0.3750
Sc 0.8750 0.1250 0.2500
Sc 0.3750 0.6250 0.2500
Sc 0.6250 0.3750 0.7500
Sc 0.1250 0.8750 0.7500
Sc 0.7500 0.8750 0.6250
Sc 0.6250 0.2500 0.3750
Sc 0.1250 0.2500 0.8750
Sc 0.2500 0.6250 0.8750
In 0.1250 0.3750 0.2500
In 0.0000 0.5000 0.0000
In 0.0000 0.0000 0.0000
In 0.3750 0.2500 0.1250
In 0.5000 0.0000 0.5000
In 0.5000 0.5000 0.0000
In 0.1250 0.7500 0.3750
In 0.7500 0.1250 0.8750
In 0.7500 0.6250 0.3750
In 0.3750 0.1250 0.7500
In 0.6250 0.8750 0.2500
In 0.5000 0.5000 0.5000
In 0.5000 0.0000 0.0000
In 0.0000 0.0000 0.5000
In 0.2500 0.3750 0.6250
In 0.2500 0.8750 0.1250
In 0.0000 0.5000 0.5000
In 0.8750 0.2500 0.6250
In 0.6250 0.7500 0.8750
In 0.8750 0.6250 0.7500
Te 0.7246 0.1356 0.0521
Te 0.3275 0.5521 0.4165
Te 0.9479 0.3644 0.2754
Te 0.5521 0.2246 0.1356
Te 0.5890 0.7246 0.6725
Te 0.9479 0.5835 0.1725
Te 0.3275 0.7754 0.4110
Te 0.0835 0.9110 0.1356
Te 0.5835 0.9479 0.6725
Te 0.7246 0.5890 0.1725
Te 0.7754 0.4479 0.3644
Te 0.8275 0.9165 0.0521
Te 0.1356 0.7246 0.5521
Te 0.3644 0.4165 0.0890
Te 0.0890 0.9165 0.3644
Te 0.4110 0.1356 0.5835
Te 0.0890 0.1725 0.2246
Te 0.4479 0.6725 0.0835
Te 0.8275 0.9110 0.2754
Te 0.1356 0.4110 0.0835
Te 0.3644 0.9479 0.7754
Te 0.5835 0.6356 0.4110
Te 0.9165 0.8275 0.5521
Te 0.7754 0.3275 0.9110
Te 0.4165 0.3644 0.5890
Te 0.0835 0.1725 0.4479
Te 0.2246 0.6725 0.0890
Te 0.1725 0.0890 0.7246
Te 0.6356 0.0521 0.2246
Te 0.8644 0.5890 0.9165
Te 0.5521 0.3275 0.9165
Te 0.5890 0.8644 0.4165
Te 0.9110 0.8275 0.7754
Te 0.9110 0.0835 0.6356
Te 0.8644 0.2754 0.4479
Te 0.1725 0.0835 0.9479
Te 0.6356 0.5835 0.9110
Te 0.4165 0.0521 0.3275
Te 0.2754 0.4110 0.8275
Te 0.2246 0.5521 0.6356
Te 0.9165 0.0890 0.8644
Te 0.6725 0.2246 0.5890
Te 0.4479 0.7754 0.8644
Te 0.0521 0.4165 0.8275
Te 0.4110 0.2754 0.3275
Te 0.0521 0.6356 0.7246
Te 0.6725 0.4479 0.5835
Te 0.2754 0.8644 0.9479

---

Entry 15:
This record from Alexandria via LeMat-Bulk describes NaU2Ni2S6 after structural relaxation. The functional is PBE.

Output
SG = P-1
Formation energy without anion corrections = -1.00 eV per atom

a = 6.7808 Å, b = 7.0174 Å, c = 7.3491 Å
α = 121.19°, β = 91.35°, γ = 59.92°
Each line ends with the local moment (μB).
Atoms (fractional coordinates):
Na 0.5000 0.0000 0.5000  0.00
U 0.8337 0.3350 0.8257  0.99
U 0.1663 0.6650 0.1743  0.99
Ni 0.1952 0.7691 0.8291  -0.36
Ni 0.8048 0.2309 0.1709  -0.36
S 0.4057 0.8071 0.0590  -0.05
S 0.9462 0.4590 0.1993  -0.05
S 0.2265 0.8280 0.5716  -0.05
S 0.0538 0.5410 0.8007  -0.05
S 0.7735 0.1720 0.4284  -0.05
S 0.5943 0.1929 0.9410  -0.05

---

Entry 16:
This record from Alexandria via LeMat-Bulk describes Rb2Os3RuO12 after structural relaxation. The functional is PBE.

Output
SG = R-3m
Formation energy without anion corrections = -1.18 eV per atom

a = 7.2262 Å, b = 7.2262 Å, c = 7.2262 Å
α = 60.29°, β = 60.29°, γ = 60.29°
Atoms (fractional coordinates):
Rb 0.6255 0.6255 0.6255
Rb 0.3745 0.3745 0.3745
Os 0.5000 0.0000 0.0000
Os 0.0000 0.5000 0.0000
Os 0.0000 0.0000 0.5000
Ru 0.0000 0.0000 0.0000
O 0.3166 0.3166 0.9350
O 0.9364 0.9364 0.3192
O 0.3192 0.9364 0.9364
O 0.9350 0.3166 0.3166
O 0.9364 0.3192 0.9364
O 0.3166 0.9350 0.3166
O 0.6834 0.6834 0.0650
O 0.0636 0.0636 0.6808
O 0.6808 0.0636 0.0636
O 0.0650 0.6834 0.6834
O 0.0636 0.6808 0.0636
O 0.6834 0.0650 0.6834

---

Entry 17:
This record from Alexandria via LeMat-Bulk describes BeCl2 after structural relaxation. The functional is PBE.

Output
Distance to the lowest polymorph of the same formula = 0.028 eV/atom
SG = C2/m
Formation energy without anion corrections = -1.41 eV per atom

a = 7.3409 Å, b = 7.3409 Å, c = 8.6425 Å
α = 53.25°, β = 53.25°, γ = 26.30°
Atoms (fractional coordinates):
Be 0.3840 0.3840 0.6116
Be 0.6160 0.6160 0.3884
Cl 0.7776 0.7776 0.7139
Cl 0.5058 0.5058 0.3140
Cl 0.4942 0.4942 0.6860
Cl 0.2224 0.2224 0.2861

---

Entry 18:
This record from Alexandria via LeMat-Bulk describes Ho2Si3Ni12Pt after structural relaxation. The functional is PBE.

Output
SG = R-3m
Formation energy without anion corrections = -0.12 eV per atom

a = 6.2742 Å, b = 6.2742 Å, c = 6.2742 Å
α = 85.39°, β = 85.39°, γ = 85.39°
Atoms (fractional coordinates):
Ho 0.6785 0.6785 0.6785
Ho 0.3215 0.3215 0.3215
Si 0.5000 0.0000 0.0000
Si 0.0000 0.5000 0.0000
Si 0.0000 0.0000 0.5000
Ni 0.3921 0.3921 0.8909
Ni 0.8078 0.8078 0.3059
Ni 0.3059 0.8078 0.8078
Ni 0.8909 0.3921 0.3921
Ni 0.8078 0.3059 0.8078
Ni 0.3921 0.8909 0.3921
Ni 0.6079 0.6079 0.1091
Ni 0.1922 0.1922 0.6941
Ni 0.6941 0.1922 0.1922
Ni 0.1091 0.6079 0.6079
Ni 0.1922 0.6941 0.1922
Ni 0.6079 0.1091 0.6079
Pt 0.0000 0.0000 0.0000

---

Entry 19:
This record from Alexandria via LeMat-Bulk describes CaAc2Zn4Au3 after structural relaxation. The functional is PBE.

Output
SG = P-4m2

a = 4.3903 Å, b = 4.3903 Å, c = 12.3868 Å
α = 90.00°, β = 90.00°, γ = 90.00°
Atoms (fractional coordinates):
Ca 0.5000 0.5000 0.5000
Ac 0.5000 0.0000 0.2243
Ac 0.0000 0.5000 0.7757
Zn 0.5000 0.5000 0.0000
Zn 0.0000 0.0000 0.0000
Zn 0.5000 0.0000 0.6587
Zn 0.0000 0.5000 0.3413
Au 0.0000 0.0000 0.5000
Au 0.5000 0.0000 0.8735
Au 0.0000 0.5000 0.1265

---

Number 1: E -6.474 eV/atom. Number 2: E -5.395 eV/atom. Number 3: E -4.374 eV/atom. Number 4: E -5.503 eV/atom. Number 5: E -3.455 eV/atom. Number 6: E -4.190 eV/atom. Number 7: E -7.101 eV/atom. Number 8: E -3.091 eV/atom. Number 9: E -7.297 eV/atom. Number 10: E -4.916 eV/atom. Number 11: E -3.270 eV/atom. Number 12: E -5.759 eV/atom. Number 13: E -7.093 eV/atom. Number 14: E -3.984 eV/atom. Number 15: E -6.479 eV/atom. Number 16: E -6.979 eV/atom. Number 17: E -3.879 eV/atom. Number 18: E -5.720 eV/atom. Number 19: E -3.015 eV/atom.